A plane-wave DFT calculation with PBE-GGA was carried out for crystalline ZrCdSe at its relaxed geometry.

Calculated values
**Space group**: P3m1
**ΔE_f (raw)**: -527 meV/atom
**Energy above the most stable polymorph in this dataset**: 106 meV per atom
**Total energy**: -4.84 eV/atom

Cell lengths 3.555, 3.555, 6.562 Å; angles 90.00, 90.00, 120.00 degrees
Element x y z (fractional)
1 Se 0.333 0.667 0.375
2 Cd 0.000 0.000 0.990
3 Zr 0.667 0.333 0.636